# 1
5
Lattice="5.5981 0.0000 0.0000 0.0000 5.5981 0.0000 0.0000 0.0000 5.5981" Properties=species:S:1:pos:R:3 comment="SnTe3Cl (PBEsol, optimized geometry)" total_energy_ev_per_cell=-14.1 rho_kg_m3=5082 space_group=Pm-3m e_form_raw_ev_per_fu=2.705 n_ef_per_ev_cell=7.142 pbc="T T T"
Te 0.0000 2.7990 0.0000
Te 0.0000 0.0000 2.7990
Te 2.7990 0.0000 0.0000
Sn 0.0000 0.0000 0.0000
Cl 2.7990 2.7990 2.7990


# 2
5
Lattice="-2.4854 -0.7540 -4.3640 3.3435 -3.6010 -1.2820 -3.1881 -3.8429 2.4797" Properties=species:S:1:pos:R:3 comment="ZnSnTe2Cl (PBEsol, optimized geometry)" total_energy_ev_per_cell=-13.9 rho_kg_m3=5483 space_group=P4/mmm e_form_raw_ev_per_fu=0.993 n_ef_per_ev_cell=2.696 pbc="T T T"
Zn 0.0000 0.0000 0.0000
Te 1.6718 -1.8005 -0.6410
Te -1.2427 -0.3770 -2.1820
Sn -1.5941 -1.9215 1.2399
Cl -1.1650 -4.0990 -1.5831


# 3
5
Lattice="4.8491 0.0000 0.0000 0.0000 4.8491 0.0000 0.0000 0.0000 4.8491" Properties=species:S:1:pos:R:3 comment="TiSnCl3 (PBEsol, optimized geometry)" total_energy_ev_per_cell=-22.3 rho_kg_m3=3975 space_group=Pm-3m e_form_raw_ev_per_fu=-3.745 n_ef_per_ev_cell=6.102 pbc="T T T"
Cl 0.0000 2.4245 0.0000
Cl 0.0000 0.0000 2.4245
Cl 2.4245 0.0000 0.0000
Sn 2.4245 2.4245 2.4245
Ti 0.0000 0.0000 0.0000


# 4
5
Lattice="-4.0928 0.3483 0.1983 -0.2028 -0.0448 -4.1072 1.3942 -9.0840 2.0891" Properties=species:S:1:pos:R:3 comment="Tl2Sn2Cl (PBEsol, optimized geometry)" total_energy_ev_per_cell=-16.7 rho_kg_m3=7466 space_group=I4/mmm e_form_raw_ev_per_fu=-0.929 n_ef_per_ev_cell=2.886 pbc="T T T"
Tl -0.6216 -7.3671 0.1111
Tl -2.2799 -1.4134 -1.9308
Sn -0.4782 -4.4885 -1.9862
Sn -2.4232 -4.2920 0.1665
Cl 0.0000 0.0000 0.0000


# 5
38
Lattice="-7.4841 -2.6206 -5.2436 8.5763 0.7990 -4.0226 2.2768 -11.6031 2.5493" Properties=species:S:1:pos:R:3 comment="Sn2W3Cl14 (PBEsol, optimized geometry)" total_energy_ev_per_cell=-190.2 rho_kg_m3=4509 space_group=P6_3 e_form_raw_ev_per_fu=-17.064 pbc="T T T"
Sn 3.6823 -2.6820 -3.9152
Sn -0.5328 -9.6234 -3.0476
Sn 0.5406 -2.7553 0.6054
Sn 1.6790 -8.5568 1.8800
W -2.8310 -3.3131 -3.2851
W -0.2747 -2.9937 -4.1144
W -2.1834 -3.7551 -5.8755
W 5.7968 -8.0565 -3.8833
W 3.2405 -8.3759 -3.0540
W 5.1492 -7.6144 -1.2929
Cl -1.4236 -5.0835 -4.0450
Cl 5.0682 -9.7452 -2.3634
Cl -3.8479 -2.2079 -5.1469
Cl -1.5752 -1.2988 -3.0386
Cl -0.7942 -1.8245 -6.1290
Cl 6.1949 -6.0079 -2.7144
Cl 3.9222 -6.9170 -4.8227
Cl 3.1412 -6.3913 -1.7324
Cl -4.4507 -5.0470 -3.1382
Cl 0.7331 -3.8063 -2.1205
Cl -0.7869 -5.2069 -7.1379
Cl 7.9395 -8.9881 -3.4445
Cl 2.7558 -10.2289 -4.4623
Cl 4.2757 -8.8282 0.5552
Cl 4.0195 -1.2027 -6.1406
Cl 1.4198 -1.2206 -3.9006
Cl 4.5772 -0.3720 -2.8580
Cl -1.5569 -7.6023 -1.5912
Cl 1.0428 -7.5843 -3.8312
Cl -2.1146 -8.4329 -4.8738
Cl 6.3655 -3.1775 -5.1126
Cl 1.4611 -4.1667 -5.2347
Cl 3.6313 -2.7969 -0.9381
Cl -2.9420 -10.5246 -1.5433
Cl 1.9624 -9.5354 -1.4212
Cl -0.2078 -10.9053 -5.7178
Cl 0.9937 -5.0644 1.1127
Cl 2.1321 -10.8659 2.3874


# 6
5
Lattice="5.3662 0.0000 0.0000 0.0000 5.7126 0.0000 0.0000 0.0000 5.7126" Properties=species:S:1:pos:R:3 comment="Y2ZrSnCl (PBEsol, optimized geometry)" total_energy_ev_per_cell=-27.0 rho_kg_m3=4013 space_group=P4/mmm e_form_raw_ev_per_fu=2.013 n_ef_per_ev_cell=6.959 pbc="T T T"
Y 0.0000 0.0000 2.8563
Y 0.0000 2.8563 0.0000
Sn 0.0000 0.0000 0.0000
Zr 2.6831 0.0000 0.0000
Cl 2.6831 2.8563 2.8563


# 7
5
Lattice="-0.4276 4.9048 1.3898 -0.5036 -1.4285 4.8864 5.0729 0.2717 0.6023" Properties=species:S:1:pos:R:3 comment="Zn3SnCl (PBEsol, optimized geometry)" total_energy_ev_per_cell=-10.0 rho_kg_m3=4346 space_group=Pm-3m e_form_raw_ev_per_fu=1.013 n_ef_per_ev_cell=1.337 pbc="T T T"
Zn -0.2518 -0.7142 2.4432
Zn 2.5365 0.1358 0.3011
Zn -0.2138 2.4524 0.6949
Sn 0.0000 0.0000 0.0000
Cl 2.0708 1.8740 3.4392


# 8
5
Lattice="4.9336 0.0000 0.0000 0.0000 4.9336 0.0000 0.0000 0.0000 5.2574" Properties=species:S:1:pos:R:3 comment="ZrZnSn2Cl (PBEsol, optimized geometry)" total_energy_ev_per_cell=-19.2 rho_kg_m3=5574 space_group=P4/mmm e_form_raw_ev_per_fu=2.004 n_ef_per_ev_cell=3.742 pbc="T T T"
Zn 0.0000 0.0000 0.0000
Sn 0.0000 2.4668 0.0000
Sn 2.4668 0.0000 0.0000
Zr 0.0000 0.0000 2.6287
Cl 2.4668 2.4668 2.6287


# 9
4
Lattice="-0.4125 -4.7716 -1.7177 3.8683 -2.1406 -2.5184 2.6973 -3.7278 2.1718" Properties=species:S:1:pos:R:3 comment="ZrSn2Cl (PBEsol, optimized geometry)" total_energy_ev_per_cell=-19.3 rho_kg_m3=6491 space_group=Fm-3m e_form_raw_ev_per_fu=0.341 n_ef_per_ev_cell=4.292 pbc="T T T"
Sn 1.5383 -2.6600 -0.5161
Sn 4.6148 -7.9800 -1.5482
Zr 3.0765 -5.3200 -1.0321
Cl 0.0000 0.0000 0.0000


# 10
5
Lattice="4.9792 0.0000 0.0000 0.0000 4.9792 0.0000 0.0000 0.0000 4.9792" Properties=species:S:1:pos:R:3 comment="ZrSnCl3 (PBEsol, optimized geometry)" total_energy_ev_per_cell=-23.1 rho_kg_m3=4255 space_group=Pm-3m e_form_raw_ev_per_fu=-3.742 n_ef_per_ev_cell=4.545 pbc="T T T"
Sn 2.4896 2.4896 2.4896
Zr 0.0000 0.0000 0.0000
Cl 0.0000 2.4896 0.0000
Cl 0.0000 0.0000 2.4896
Cl 2.4896 0.0000 0.0000


# 11
48
Lattice="6.3607 0.0000 0.0000 0.0000 11.4531 0.0480 0.0000 -0.5376 18.2085" Properties=species:S:1:pos:R:3 comment="ZrSnCl6 (PBEsol, optimized geometry)" total_energy_ev_per_cell=-222.2 rho_kg_m3=3174 space_group=Pc e_form_raw_ev_per_fu=-11.632 n_ef_per_ev_cell=0.000 pbc="T T T"
Zr 3.3293 5.7051 0.0836
Zr 3.0314 5.4363 9.1878
Zr 0.0800 3.6448 3.0268
Zr 6.2807 3.3760 12.1311
Zr 0.1531 -0.2299 9.0614
Zr 6.2076 -0.4987 18.1656
Sn 0.0220 7.6125 6.0526
Sn 6.3386 7.3437 15.1568
Sn 3.0910 1.3541 15.2258
Sn 3.2696 1.6229 6.1215
Sn 3.2338 9.4632 3.0966
Sn 3.1269 9.1944 12.2009
Cl 5.4134 9.5373 4.5766
Cl 0.9473 9.2685 13.6808
Cl 2.1173 3.5681 4.3102
Cl 4.2433 3.2993 13.4144
Cl 4.2246 0.2644 1.2891
Cl 2.1361 -0.0045 10.3933
Cl 4.0842 7.2975 8.1632
Cl 2.2765 7.0287 17.2674
Cl 0.9256 1.6048 7.5388
Cl 5.4351 1.3360 16.6430
Cl 5.3857 1.6415 10.4503
Cl 0.9750 1.9103 1.3460
Cl 4.1275 7.2991 13.8374
Cl 2.2332 7.5679 4.7331
Cl 0.8732 1.5101 13.2931
Cl 5.4875 1.7789 4.1888
Cl 1.2043 9.5407 7.6782
Cl 5.1564 9.2719 16.7824
Cl 4.2309 3.7533 7.9278
Cl 2.1297 3.4845 17.0321
Cl 1.1535 5.3569 7.7294
Cl 5.2072 5.0881 16.8336
Cl 4.4263 11.1217 7.7655
Cl 1.9344 10.8529 16.8697
Cl 0.7190 9.8030 1.4620
Cl 5.6417 9.5342 10.5662
Cl 4.4320 3.7742 1.4713
Cl 1.9287 3.5054 10.5755
Cl 2.1488 11.3017 4.6489
Cl 4.2119 11.0329 13.7532
Cl 0.9590 4.9873 13.5619
Cl 5.4017 5.2561 4.4577
Cl 4.3764 7.1282 1.7401
Cl 1.9843 6.8594 10.8444
Cl 1.2391 5.4521 1.6826
Cl 5.1216 5.1833 10.7868


# 12
6
Lattice="4.0701 0.0000 0.0000 -2.0350 5.8116 0.0000 0.0000 0.0000 6.6434" Properties=species:S:1:pos:R:3 comment="SrCl2 (PBEsol, optimized geometry)" total_energy_ev_per_cell=-26.2 rho_kg_m3=3350 space_group=Cmc2_1 e_form_raw_ev_per_fu=-7.261 n_ef_per_ev_cell=0.000 pbc="T T T"
Sr 0.0000 1.3720 3.3348
Sr 2.0350 4.4396 0.0131
Cl 0.0000 2.4601 6.2013
Cl 2.0350 3.3516 2.8796
Cl 0.0000 5.6939 4.8581
Cl 2.0350 0.1177 1.5364